DFT (GGA-PBE) results for a relaxed Ac4PdPtCl2 crystal.

Results
Volume in Å³/f.u.: 270
Formation energy (no corrections) in eV/atom: -1.31

Cell: 4.455 8.305 7.677 Å, 72.05 90.00 90.00°
Element x y z (fractional)
Ac (0.000, 0.706, 0.766)
Ac (0.000, 0.294, 0.234)
Ac (0.500, 0.295, 0.739)
Ac (0.500, 0.705, 0.261)
Pt (0.500, 0.500, 0.000)
Cl (0.000, 0.000, 0.000)
Cl (0.500, 0.000, 0.500)
Pd (0.000, 0.500, 0.500)